P | ## TcBiB3 (PBE-GGA)

Data for an optimized crystal structure of TcBiB3.

Output
Total magnetization = 0.00 Bohr magnetons per cell
Space group = Pm-3m
DOS at the Fermi energy = 3.475 states/eV per cell

Cell: 4.2109 4.2109 4.2109 Å, 90.00 90.00 90.00°
Closest atoms and distances in Å follow each position.
Sites, in units of the cell vectors:
Tc (0.0000, 0.0000, 0.0000)  6 B 2.11
Bi (0.5000, 0.5000, 0.5000)  12 B 2.98
B (0.0000, 0.0000, 0.5000)  2 Tc 2.11
B (0.0000, 0.5000, 0.0000)  2 Tc 2.11
B (0.5000, 0.0000, 0.0000)  2 Tc 2.11

Q | ## TcBiB3 (PBE-GGA)

Data for an optimized crystal structure of TcBiB3.

Output
Total magnetization = 0.00 Bohr magnetons per cell
Space group = Pm-3m
DOS at the Fermi energy = 8.206 states/eV per cell

Cell: 4.5038 4.5038 4.5038 Å, 90.00 90.00 90.00°
Closest atoms and distances in Å follow each position.
Sites, in units of the cell vectors:
Tc (0.0000, 0.0000, 0.0000)  12 B 3.18
Bi (0.5000, 0.5000, 0.5000)  6 B 2.25
B (0.0000, 0.5000, 0.5000)  2 Bi 2.25
B (0.5000, 0.0000, 0.5000)  2 Bi 2.25
B (0.5000, 0.5000, 0.0000)  2 Bi 2.25

Looking at the structures above, which would you pick as the most stable? I would pick P.